This record from Alexandria via LeMat-Bulk describes crystalline Pr2Sm8Tl at its relaxed geometry. The functional is PBE.

Output
mass density: 7.4 g cm⁻³
DFT formation energy: 0.30 eV/f.u.
total magnetization: 0.0 μB per cell
offset from the most stable computed form: 0.063 eV per atom
density of states at the Fermi level: 15.523 states/eV/cell

Cell lengths 5.592, 7.734, 9.978 Å; angles 112.80, 106.27, 90.00 degrees
Positions (direct):
Sm 0.364 0.135 0.728
Tl 0.500 0.000 0.000
Sm 0.636 0.865 0.272
Sm 0.364 0.592 0.728
Sm 0.000 0.741 0.000
Sm 0.000 0.259 0.000
Pr 0.193 0.693 0.385
Pr 0.807 0.307 0.615
Sm 0.636 0.408 0.272
Sm 0.178 0.178 0.356
Sm 0.822 0.822 0.644